<i>
Crystalline ZrTcF2 at its relaxed geometry, computed with PBE-GGA.

Cell: 8.155 8.155 8.155 Å, 153.29 153.29 38.13°
Atoms (fractional coordinates):
Zr1 0.000 0.000 0.000
Zr2 0.750 0.250 0.500
Tc1 0.250 0.750 0.500
Tc2 0.500 0.500 0.000
F1 0.114 0.625 0.989
F2 0.375 0.364 0.489
F3 0.636 0.125 0.011
F4 0.875 0.886 0.511

Computed properties:
- SG = I-42d
- volume (Å³/atom) = 13.67
- total magnetization (μB/f.u.) = 1.0

***

<ii>
Crystalline ZrTcF2 at its relaxed geometry, computed with PBE-GGA.

Cell: 7.780 7.780 7.780 Å, 20.80 20.80 20.80°
Atoms (fractional coordinates):
Zr1 0.000 0.000 0.000
Tc1 0.500 0.500 0.500
F1 0.405 0.405 0.405
F2 0.595 0.595 0.595

Computed properties:
- SG = R-3m
- volume (Å³/atom) = 13.00
- total magnetization (μB/f.u.) = 0.0

***

<iii>
Crystalline ZrTcF2 at its relaxed geometry, computed with PBE-GGA.

Cell: 4.556 4.556 4.556 Å, 51.65 51.65 51.65°
Atoms (fractional coordinates):
Zr1 0.000 0.000 0.000
Tc1 0.500 0.500 0.500
F1 0.186 0.186 0.186
F2 0.814 0.814 0.814

Computed properties:
- SG = R-3m
- volume (Å³/atom) = 13.43
- total magnetization (μB/f.u.) = 0.0

***

Relative stability in eV/atom, measured from the most stable structure: <i> 0.111; <ii> 0.000; <iii> 0.494

***

<i>
Crystalline Zr3TcF at its relaxed geometry, computed with PBE-GGA.

Cell: 5.063 5.063 5.063 Å, 90.00 90.00 90.00°
Atoms (fractional coordinates):
Zr1 0.000 0.000 0.500
Zr2 0.000 0.500 0.000
Zr3 0.500 0.000 0.000
Tc1 0.000 0.000 0.000
F1 0.500 0.500 0.500

Computed properties:
- SG = Pm-3m
- volume (Å³/atom) = 25.96
- total magnetization (μB/f.u.) = 0.0

***

<ii>
Crystalline Zr3TcF at its relaxed geometry, computed with PBE-GGA.

Cell: 4.486 4.486 4.486 Å, 90.00 90.00 90.00°
Atoms (fractional coordinates):
Zr1 0.000 0.000 0.500
Zr2 0.000 0.500 0.000
Zr3 0.500 0.000 0.000
Tc1 0.500 0.500 0.500
F1 0.000 0.000 0.000

Computed properties:
- SG = Pm-3m
- volume (Å³/atom) = 18.05
- total magnetization (μB/f.u.) = 0.0

***

Relative stability in eV/atom, measured from the most stable structure: <i> 0.725; <ii> 0.000

***

<i>
Crystalline TeF4 at its relaxed geometry, computed with PBE-GGA.

Cell: 5.738 6.036 10.103 Å, 90.00 90.00 90.00°
Atoms (fractional coordinates):
Te1 0.143 0.008 0.381
Te2 0.357 0.992 0.881
Te3 0.643 0.492 0.619
Te4 0.857 0.508 0.119
F1 0.052 0.728 0.250
F2 0.125 0.176 0.966
F3 0.137 0.957 0.744
F4 0.214 0.733 0.959
F5 0.286 0.267 0.459
F6 0.363 0.043 0.244
F7 0.375 0.824 0.466
F8 0.448 0.272 0.750
F9 0.552 0.772 0.750
F10 0.625 0.324 0.034
F11 0.637 0.543 0.256
F12 0.714 0.767 0.041
F13 0.786 0.233 0.541
F14 0.863 0.457 0.756
F15 0.875 0.676 0.534
F16 0.948 0.228 0.250

Computed properties:
- SG = P2_12_12_1
- volume (Å³/atom) = 17.50
- total magnetization (μB/f.u.) = 0.0

***

<ii>
Crystalline TeF4 at its relaxed geometry, computed with PBE-GGA.

Cell: 5.713 5.713 6.666 Å, 90.00 90.00 125.90°
Atoms (fractional coordinates):
Te1 0.207 0.793 0.750
Te2 0.793 0.207 0.250
F1 0.014 0.655 0.022
F2 0.158 0.309 0.170
F3 0.309 0.158 0.830
F4 0.345 0.986 0.478
F5 0.655 0.014 0.978
F6 0.691 0.842 0.330
F7 0.842 0.691 0.670
F8 0.986 0.345 0.522

Computed properties:
- SG = C222_1
- volume (Å³/atom) = 17.62
- total magnetization (μB/f.u.) = 0.0

***

Relative stability in eV/atom, measured from the most stable structure: <i> 0.000; <ii> 0.024

***

<i>
Crystalline TeF4 at its relaxed geometry, computed with PBE-GGA.

Cell: 4.210 4.210 4.210 Å, 90.00 90.00 90.00°
Atoms (fractional coordinates):
Te1 0.000 0.000 0.000
F1 0.000 0.000 0.500
F2 0.000 0.500 0.000
F3 0.500 0.000 0.000
F4 0.500 0.500 0.500

Computed properties:
- SG = Pm-3m
- volume (Å³/atom) = 14.92
- total magnetization (μB/f.u.) = 0.1

***

<ii>
Crystalline TeF4 at its relaxed geometry, computed with PBE-GGA.

Cell: 4.903 4.903 5.218 Å, 90.00 90.00 90.00°
Atoms (fractional coordinates):
Te1 0.000 0.000 0.000
Te2 0.500 0.500 0.500
F1 0.199 0.249 0.337
F2 0.249 0.801 0.663
F3 0.251 0.301 0.837
F4 0.301 0.749 0.163
F5 0.699 0.251 0.163
F6 0.749 0.699 0.837
F7 0.751 0.199 0.663
F8 0.801 0.751 0.337

Computed properties:
- SG = P-42_1c
- volume (Å³/atom) = 12.54
- total magnetization (μB/f.u.) = 0.0

***

Relative stability in eV/atom, measured from the most stable structure: <i> 0.424; <ii> 0.000

***

<i>
Crystalline TeF at its relaxed geometry, computed with PBE-GGA.

Cell: 8.491 5.260 7.953 Å, 90.00 90.00 90.00°
Atoms (fractional coordinates):
Te1 0.102 0.250 0.035
Te2 0.209 0.250 0.660
Te3 0.291 0.750 0.160
Te4 0.398 0.750 0.535
Te5 0.602 0.250 0.465
Te6 0.709 0.250 0.840
Te7 0.791 0.750 0.340
Te8 0.898 0.750 0.965
F1 0.025 0.750 0.358
F2 0.177 0.250 0.409
F3 0.323 0.750 0.909
F4 0.475 0.250 0.858
F5 0.525 0.750 0.142
F6 0.677 0.250 0.091
F7 0.823 0.750 0.591
F8 0.975 0.250 0.642

Computed properties:
- SG = Pnma
- volume (Å³/atom) = 22.20
- total magnetization (μB/f.u.) = 0.0

***

<ii>
Crystalline TeF at its relaxed geometry, computed with PBE-GGA.

Cell: 8.214 8.214 8.214 Å, 92.02 92.02 158.38°
Atoms (fractional coordinates):
Te1 0.005 0.685 0.690
Te2 0.315 0.005 0.320
Te3 0.685 0.995 0.680
Te4 0.995 0.315 0.310
F1 0.114 0.187 0.301
F2 0.187 0.886 0.073
F3 0.813 0.114 0.927
F4 0.886 0.813 0.699

Computed properties:
- SG = I4/m
- volume (Å³/atom) = 25.08
- total magnetization (μB/f.u.) = 0.0

***

<iii>
Crystalline TeF at its relaxed geometry, computed with PBE-GGA.

Cell: 3.325 3.325 8.872 Å, 90.00 90.00 120.00°
Atoms (fractional coordinates):
Te1 0.333 0.667 0.000
Te2 0.667 0.333 0.500
F1 0.333 0.667 0.771
F2 0.667 0.333 0.271

Computed properties:
- SG = P6_3mc
- volume (Å³/atom) = 21.24
- total magnetization (μB/f.u.) = 0.0

***

Relative stability in eV/atom, measured from the most stable structure: <i> 0.000; <ii> 0.071; <iii> 0.185

***

<i>
Crystalline TeF at its relaxed geometry, computed with PBE-GGA.

Cell: 4.556 11.226 5.702 Å, 90.00 90.00 90.00°
Atoms (fractional coordinates):
Te1 0.250 0.094 0.123
Te2 0.250 0.406 0.123
Te3 0.250 0.750 0.705
Te4 0.750 0.250 0.295
Te5 0.750 0.594 0.877
Te6 0.750 0.906 0.877
F1 0.250 0.250 0.871
F2 0.250 0.538 0.359
F3 0.250 0.962 0.359
F4 0.750 0.038 0.641
F5 0.750 0.462 0.641
F6 0.750 0.750 0.129

Computed properties:
- SG = Pmmn
- volume (Å³/atom) = 24.30
- total magnetization (μB/f.u.) = 0.0

***

<ii>
Crystalline TeF at its relaxed geometry, computed with PBE-GGA.

Cell: 3.896 3.896 3.896 Å, 60.00 60.00 60.00°
Atoms (fractional coordinates):
Te1 0.000 0.000 0.000
F1 0.500 0.500 0.500

Computed properties:
- SG = Fm-3m
- volume (Å³/atom) = 20.91
- total magnetization (μB/f.u.) = 1.2

***

<iii>
Crystalline TeF at its relaxed geometry, computed with PBE-GGA.

Cell: 10.150 10.150 4.131 Å, 90.00 90.00 90.00°
Atoms (fractional coordinates):
Te1 0.060 0.267 0.000
Te2 0.103 0.590 0.500
Te3 0.267 0.940 0.000
Te4 0.410 0.103 0.500
Te5 0.590 0.897 0.500
Te6 0.733 0.060 0.000
Te7 0.897 0.410 0.500
Te8 0.940 0.733 0.000
F1 0.134 0.190 0.500
F2 0.190 0.866 0.500
F3 0.253 0.308 0.000
F4 0.308 0.747 0.000
F5 0.692 0.253 0.000
F6 0.747 0.692 0.000
F7 0.810 0.134 0.500
F8 0.866 0.810 0.500

Computed properties:
- SG = P4/m
- volume (Å³/atom) = 26.60
- total magnetization (μB/f.u.) = 0.0

***

<iv>
Crystalline TeF at its relaxed geometry, computed with PBE-GGA.

Cell: 8.183 6.346 6.285 Å, 90.00 90.00 90.00°
Atoms (fractional coordinates):
Te1 0.000 0.063 0.000
Te2 0.188 0.209 0.636
Te3 0.312 0.791 0.136
Te4 0.500 0.937 0.500
Te5 0.688 0.791 0.136
Te6 0.812 0.209 0.636
F1 0.000 0.975 0.485
F2 0.198 0.570 0.301
F3 0.302 0.430 0.801
F4 0.500 0.025 0.985
F5 0.698 0.430 0.801
F6 0.802 0.570 0.301

Computed properties:
- SG = Pmn2_1
- volume (Å³/atom) = 27.20
- total magnetization (μB/f.u.) = 0.0

***

Relative stability in eV/atom, measured from the most stable structure: <i> 0.000; <ii> 0.987; <iii> 0.132; <iv> 0.050